# 1
VASP calculation (PBE) on HfCl after structural relaxation.

Results
Space-group type: Fm-3m (225)

a = 3.7018 Å, b = 3.7018 Å, c = 3.7018 Å
α = 60.00°, β = 60.00°, γ = 60.00°
With the nearest neighbours (Å) after each atom.
Fractional coordinates of all 2 atoms:
1 Hf 0.0000 0.0000 0.0000  6 Cl 2.62
2 Cl 0.5000 0.5000 0.5000  6 Hf 2.62

=====

# 2
VASP calculation (PBE) on HfHgCl6 after structural relaxation.

Results
Space-group type: C2/c (15)

a = 6.6124 Å, b = 6.6124 Å, c = 11.9278 Å
α = 90.06°, β = 90.06°, γ = 119.94°
With the nearest neighbours (Å) after each atom.
Fractional coordinates of all 16 atoms:
1 Hf 0.1664 0.8336 0.7500  6 Cl 2.46-2.47
2 Hf 0.8336 0.1664 0.2500  6 Cl 2.46-2.47
3 Hg 0.5000 0.5000 0.2500  6 Cl 2.70-2.71
4 Hg 0.5000 0.5000 0.7500  6 Cl 2.70-2.71
5 Cl 0.1384 0.1734 0.3716  1 Hf 2.46, 1 Hg 2.71
6 Cl 0.1383 0.4650 0.1288  1 Hf 2.47, 1 Hg 2.70
7 Cl 0.1734 0.1384 0.8716  1 Hf 2.46, 1 Hg 2.71
8 Cl 0.1736 0.5351 0.6285  1 Hf 2.47, 1 Hg 2.70
9 Cl 0.4650 0.1383 0.6288  1 Hf 2.47, 1 Hg 2.70
10 Cl 0.4649 0.8264 0.8715  1 Hf 2.47, 1 Hg 2.70
11 Cl 0.5351 0.1736 0.1285  1 Hf 2.47, 1 Hg 2.70
12 Cl 0.5350 0.8617 0.3712  1 Hf 2.47, 1 Hg 2.70
13 Cl 0.8264 0.4649 0.3715  1 Hf 2.47, 1 Hg 2.70
14 Cl 0.8266 0.8616 0.1284  1 Hf 2.46, 1 Hg 2.71
15 Cl 0.8617 0.5350 0.8712  1 Hf 2.47, 1 Hg 2.70
16 Cl 0.8616 0.8266 0.6284  1 Hf 2.46, 1 Hg 2.71

=====

# 3
VASP calculation (PBE) on HfHg3Se2Cl6 after structural relaxation.

Results
Space-group type: P2_1/c (14)

a = 6.6594 Å, b = 7.6512 Å, c = 13.3586 Å
α = 90.00°, β = 91.82°, γ = 90.00°
With the nearest neighbours (Å) after each atom.
Fractional coordinates of all 24 atoms:
1 Hf 0.0000 0.0000 0.0000  6 Cl 2.46
2 Hf 0.0000 0.5000 0.5000  6 Cl 2.46
3 Hg 0.4939 0.2039 0.2378  2 Se 2.55
4 Hg 0.4939 0.2961 0.7378  2 Se 2.55
5 Hg 0.5000 0.0000 0.5000  2 Se 2.56
6 Hg 0.5000 0.5000 0.0000  2 Se 2.56
7 Hg 0.5061 0.7039 0.2622  2 Se 2.55
8 Hg 0.5061 0.7961 0.7622  2 Se 2.55
9 Se 0.3136 0.5371 0.8308  3 Hg 2.55-2.56
10 Se 0.3136 0.9629 0.3308  3 Hg 2.55-2.56
11 Se 0.6864 0.0371 0.6692  3 Hg 2.55-2.56
12 Se 0.6864 0.4629 0.1692  3 Hg 2.55-2.56
13 Cl 0.1361 0.2224 0.5660  1 Hf 2.46
14 Cl 0.1361 0.2776 0.0660  1 Hf 2.46
15 Cl 0.1477 0.0512 0.8363  1 Hf 2.46
16 Cl 0.1477 0.4488 0.3363  1 Hf 2.46
17 Cl 0.3098 0.6489 0.5581  1 Hf 2.46
18 Cl 0.3098 0.8511 0.0581  1 Hf 2.46
19 Cl 0.6902 0.1489 0.9419  1 Hf 2.46
20 Cl 0.6902 0.3511 0.4419  1 Hf 2.46
21 Cl 0.8523 0.5512 0.6637  1 Hf 2.46
22 Cl 0.8523 0.9488 0.1637  1 Hf 2.46
23 Cl 0.8639 0.7224 0.9340  1 Hf 2.46
24 Cl 0.8639 0.7776 0.4340  1 Hf 2.46

=====

# 4
VASP calculation (PBE) on HfS4I2Cl4 after structural relaxation.

Results
Space-group type: P-1 (2)

a = 7.4344 Å, b = 7.5751 Å, c = 7.8900 Å
α = 63.20°, β = 87.90°, γ = 60.72°
With the nearest neighbours (Å) after each atom.
Fractional coordinates of all 11 atoms:
1 Hf 0.0000 0.0000 0.0000  4 Cl 2.40-2.45
2 S 0.3249 0.0990 0.3431  2 S 2.01-2.11
3 S 0.3918 0.2262 0.4908  2 S 2.01-2.11
4 S 0.6082 0.7738 0.5092  2 S 2.01-2.11
5 S 0.6752 0.9010 0.6569  2 S 2.01-2.11
6 I 0.0623 0.3904 0.7971  1 Hf 2.92, 2 S 3.16
7 I 0.9377 0.6096 0.2029  1 Hf 2.92, 2 S 3.16
8 Cl 0.1452 0.8688 0.7734  1 Hf 2.40
9 Cl 0.3592 0.7699 0.2042  1 Hf 2.45
10 Cl 0.6408 0.2301 0.7958  1 Hf 2.45
11 Cl 0.8548 0.1312 0.2266  1 Hf 2.40

=====

# 5
VASP calculation (PBE) on KHfIn2Cl6 after structural relaxation.

Results
Space-group type: Fm-3m (225)

a = 7.6796 Å, b = 7.6796 Å, c = 7.6796 Å
α = 60.00°, β = 60.00°, γ = 60.00°
With the nearest neighbours (Å) after each atom.
Fractional coordinates of all 10 atoms:
1 K 0.0000 0.0000 0.0000  6 Cl 2.96
2 Hf 0.5000 0.5000 0.5000  6 Cl 2.47
3 In 0.2500 0.2500 0.2500  12 Cl 3.85
4 In 0.7500 0.7500 0.7500  12 Cl 3.85
5 Cl 0.2729 0.2729 0.7271  1 Hf 2.47
6 Cl 0.2729 0.7271 0.2729  1 Hf 2.47
7 Cl 0.2729 0.7271 0.7271  1 Hf 2.47
8 Cl 0.7271 0.2729 0.2729  1 Hf 2.47
9 Cl 0.7271 0.2729 0.7271  1 Hf 2.47
10 Cl 0.7271 0.7271 0.2729  1 Hf 2.47

=====

# 6
VASP calculation (PBE) on KHfTl2Cl6 after structural relaxation.

Results
Space-group type: Fm-3m (225)

a = 7.6812 Å, b = 7.6812 Å, c = 7.6812 Å
α = 60.00°, β = 60.00°, γ = 60.00°
With the nearest neighbours (Å) after each atom.
Fractional coordinates of all 10 atoms:
1 K 0.0000 0.0000 0.0000  6 Cl 2.96
2 Hf 0.5000 0.5000 0.5000  6 Cl 2.47
3 Tl 0.2500 0.2500 0.2500  12 Cl 3.85
4 Tl 0.7500 0.7500 0.7500  12 Cl 3.85
5 Cl 0.2724 0.2724 0.7276  1 Hf 2.47
6 Cl 0.2724 0.7276 0.2724  1 Hf 2.47
7 Cl 0.2724 0.7276 0.7276  1 Hf 2.47
8 Cl 0.7276 0.2724 0.2724  1 Hf 2.47
9 Cl 0.7276 0.2724 0.7276  1 Hf 2.47
10 Cl 0.7276 0.7276 0.2724  1 Hf 2.47

=====

Total energy across the listed records, respectively: -5.670, -4.008, -3.453, -4.063, -4.080, -4.099 eV per atom.